# 1
CaEr2Cd2 (PBE, optimized geometry); spin magnetization = 0.0 μB per formula unit; space-group type = Cmcm; ΔH_f (0 K) = -247.2 meV/atom
1.0
-0.651 3.641 0.261
-0.605 0.276 -5.359
-13.210 -4.335 1.267
Cd Er Ca
4 4 2
Cartesian
-4.613 1.316 -3.493
-1.738 1.657 -1.079
-12.727 -2.075 -2.753
-9.852 -1.734 -0.338
-12.747 -0.391 0.057
-6.794 -0.970 -3.365
-7.671 0.552 -0.467
-1.718 -0.027 -3.889
-10.355 0.248 -2.900
-4.110 -0.666 -0.931

***

# 2
KHfMg14O15 (PBE, optimized geometry); spin magnetization = 0.2 μB per formula unit; space-group type = Pmm2; raw formation energy = -2401 meV/atom; energy above the lowest structure with this stoichiometry = 0 meV/atom
1.0
-0.177 -1.998 -3.937
-4.106 -6.756 3.613
-7.708 3.830 -1.597
Mg O K Hf
14 15 1 1
Cartesian
-5.898 -1.448 1.000
-2.947 -0.803 0.540
-3.136 -6.013 0.713
-5.971 1.909 -3.180
-7.011 -4.133 -0.067
-2.041 -3.358 1.796
-1.127 -2.709 -1.054
-4.059 -3.422 -0.560
-8.892 -2.087 1.459
-4.993 -0.812 -1.843
-6.878 1.150 -0.274
-1.928 -0.100 -2.342
-7.930 -1.499 -1.362
-4.890 -4.076 2.288
-2.960 -4.871 2.605
-5.639 2.763 -1.149
-7.776 -0.531 0.619
-3.062 -1.727 -1.465
-2.131 -4.360 -0.171
-4.035 -2.390 1.395
-1.122 -1.847 0.988
-5.038 -5.146 0.359
-5.999 -2.468 -0.957
-2.106 1.007 -0.417
-4.900 0.195 0.121
-0.129 -1.065 -1.933
-6.882 0.171 -2.257
-3.961 0.886 -2.751
-9.014 -3.170 -0.465
-4.083 -6.718 3.593
-7.924 -4.781 2.783

***

# 3
BeSi2Os2 (PBE, optimized geometry); spin magnetization = 0.0 μB per formula unit; space-group type = P4/mbm; raw formation energy = -84 meV/atom; energy above the lowest structure with this stoichiometry = 0 meV/atom
1.0
-2.584 5.293 -3.378
-6.179 -2.793 0.349
-0.483 1.387 2.543
Be Os Si
2 4 4
Cartesian
-4.381 1.250 -1.515
0.000 0.000 0.000
-2.631 3.029 -2.152
-6.131 -0.529 -0.877
-6.223 2.660 -2.634
-2.540 -0.160 -0.395
-2.058 2.160 0.126
-7.188 1.727 -0.612
-4.610 -0.338 1.004
-4.636 4.225 -1.490

***

# 4
AcLuTh2 (PBE, optimized geometry); spin magnetization = 0.0 μB per formula unit; space-group type = P4/mmm; energy above the lowest structure with this stoichiometry = 9 meV/atom; ΔH_f (0 K) = 134.1 meV/atom
1.0
5.219 0.000 0.000
0.000 5.120 0.000
0.000 0.000 5.120
Lu Th Ac
1 2 1
Cartesian
2.609 2.560 2.560
0.000 0.000 2.560
0.000 2.560 0.000
2.609 0.000 0.000

***

# 5
FeCo2HRh (PBE, optimized geometry); spin magnetization = 6.0 μB per formula unit; space-group type = P4/mmm; energy above the lowest structure with this stoichiometry = 14 meV/atom
1.0
-2.868 2.240 0.360
-1.140 -1.924 2.893
2.000 2.200 2.251
Rh H Fe Co
1 1 1 2
Cartesian
-1.004 1.258 2.752
0.000 0.000 0.000
1.000 1.100 1.126
-0.570 -0.962 1.446
-1.434 1.120 0.180

***

# 6
LaEu2 (PBE, optimized geometry); spin magnetization = 14.8 μB per formula unit; space-group type = I4/mmm; energy above the lowest structure with this stoichiometry = 0 meV/atom; ΔH_f (0 K) = 55.9 meV/atom
1.0
-0.628 1.036 3.621
2.569 -2.566 1.180
4.952 6.422 -2.992
Eu La
2 1
Cartesian
3.970 3.792 -0.397
2.922 1.099 2.206
0.000 0.000 0.000

***

# 7
SmSnPt (PBE, optimized geometry); spin magnetization = 0.0 μB per formula unit; space-group type = Pnma; ΔH_f (0 K) = -1061.0 meV/atom
1.0
4.628 0.000 0.000
0.000 7.374 0.000
0.000 0.000 8.067
Sm Sn Pt
4 4 4
Cartesian
1.157 0.093 2.456
3.471 7.282 5.611
3.471 3.594 6.489
1.157 3.780 1.577
1.157 4.996 4.709
3.471 6.065 0.676
1.157 1.309 7.391
3.471 2.378 3.358
1.157 2.114 4.766
1.157 5.801 7.334
3.471 1.573 0.732
3.471 5.260 3.301

***

# 8
Th4SnTe (PBE, optimized geometry); spin magnetization = 0.0 μB per formula unit; space-group type = C2/m; raw formation energy = -298 meV/atom
1.0
6.830 -1.889 0.772
-2.859 8.534 -0.077
-0.887 -2.507 7.316
Th Sn Te
8 2 2
Cartesian
1.146 3.561 2.876
-0.919 7.240 1.178
3.926 2.029 1.603
-2.906 5.790 4.712
1.939 0.578 5.136
4.003 -3.102 6.833
5.990 -1.651 3.300
-0.841 2.110 6.409
0.993 1.661 0.174
2.092 2.477 7.838
-1.873 3.014 3.620
2.972 -2.198 4.044

***

# 9
KFeOs2 (PBE, optimized geometry); spin magnetization = 3.3 μB per formula unit; space-group type = Cmmm; energy above the lowest structure with this stoichiometry = 672 meV/atom; ΔH_f (0 K) = 1432.2 meV/atom
1.0
5.577 0.015 0.000
-2.808 4.819 0.000
0.000 0.000 2.520
Os K Fe
2 1 1
Cartesian
0.000 0.000 0.000
1.385 2.417 0.000
-1.404 2.409 1.260
2.788 0.007 1.260

***

# 10
Mo2WAu (PBE, optimized geometry); spin magnetization = 0.0 μB per formula unit; space-group type = I-4m2; energy above the lowest structure with this stoichiometry = 126 meV/atom; ΔH_f (0 K) = 273.1 meV/atom
1.0
4.885 -0.003 0.000
1.541 4.636 0.000
-3.213 -2.316 2.859
W Mo Au
1 2 1
Cartesian
3.213 2.316 0.000
0.000 0.000 0.000
0.770 2.318 1.430
2.443 -0.002 1.430

***

# 11
LaAlCo2 (PBE, optimized geometry); spin magnetization = 0.3 μB per formula unit; space-group type = Imm2; ΔH_f (0 K) = 86.0 meV/atom
1.0
-5.096 -2.110 0.966
-0.875 -5.117 2.100
2.507 4.958 0.703
Co La Al
2 1 1
Cartesian
-2.882 -0.498 1.650
-0.104 -0.126 0.054
-2.962 -3.585 1.521
-0.501 -1.673 2.078

***

# 12
Zr4ZnC (PBE, optimized geometry); spin magnetization = 0.0 μB per formula unit; space-group type = P2/m; energy above the lowest structure with this stoichiometry = 0 meV/atom; ΔH_f (0 K) = -236.6 meV/atom
1.0
3.331 0.000 0.000
0.000 5.016 -1.713
0.000 -1.754 7.837
Zr C Zn
4 1 1
Cartesian
1.665 1.520 0.314
0.000 4.478 0.518
1.665 1.742 5.810
0.000 -1.216 5.606
0.000 0.000 0.000
1.665 1.631 3.062

***

# 13
VGeTe (PBE, optimized geometry); spin magnetization = 0.0 μB per formula unit; space-group type = P-6m2; raw formation energy = 373 meV/atom
1.0
3.042 0.000 0.000
0.000 4.683 0.000
0.000 -2.341 4.056
Te V Ge
1 1 1
Cartesian
0.507 0.000 2.704
0.506 0.000 0.000
2.028 2.341 1.352

***

# 14
YZr2Co (PBE, optimized geometry); spin magnetization = 0.3 μB per formula unit; space-group type = Pm; energy above the lowest structure with this stoichiometry = 242 meV/atom; ΔH_f (0 K) = 92.2 meV/atom
1.0
4.215 0.000 0.000
0.000 3.393 -0.006
0.000 2.021 6.168
Zr Y Co
2 1 1
Cartesian
2.108 1.678 1.682
0.000 3.444 0.318
2.108 3.770 4.437
0.000 2.622 2.800

***

# 15
Pr2NiP3Rh12 (PBE, optimized geometry); spin magnetization = 1.0 μB per formula unit; space-group type = R-3m; ΔH_f (0 K) = -166.3 meV/atom
1.0
-3.021 -2.346 -5.980
-6.246 -2.853 1.800
-5.024 4.691 -1.777
Ni Rh Pr P
1 12 2 3
Cartesian
0.000 0.000 0.000
-9.751 -2.800 -4.224
-7.794 1.027 -0.497
-6.627 -3.073 -2.947
-8.377 -1.831 -0.925
-9.135 1.001 -6.026
-10.760 0.745 -2.106
-3.532 -1.253 -3.851
-7.665 2.565 -3.010
-6.498 -1.536 -5.459
-4.541 2.292 -1.733
-5.157 -1.509 0.069
-5.914 1.323 -5.031
-8.699 -0.309 -3.626
-5.593 -0.199 -2.331
-1.511 -1.173 -2.990
-2.512 2.345 -0.888
-3.123 -1.426 0.900

***

# 16
TlWCl2 (PBE, optimized geometry); spin magnetization = 3.1 μB per formula unit; space-group type = C2/m; raw formation energy = 698 meV/atom; energy above the lowest structure with this stoichiometry = 705 meV/atom
1.0
-1.150 -5.319 -1.154
4.317 2.513 -2.649
2.842 -1.025 1.554
Tl Cl W
1 2 1
Cartesian
3.579 0.744 -0.548
0.000 0.000 0.000
0.846 -3.172 0.200
1.583 -1.403 -1.901

***

# 17
Sr5YIn6 (PBE, optimized geometry); spin magnetization = 0.0 μB per formula unit; space-group type = C2/m; ΔH_f (0 K) = -435.8 meV/atom
1.0
5.618 -0.366 0.934
-0.022 7.366 3.020
1.353 0.300 9.771
In Sr Y
6 5 1
Cartesian
1.799 2.979 7.990
2.804 1.396 1.115
5.162 0.289 4.082
1.787 7.011 9.643
5.151 4.320 5.735
4.145 5.903 12.611
2.337 2.472 4.480
4.612 4.827 9.246
2.271 6.026 6.306
4.679 1.274 7.419
-0.011 3.683 1.510
0.000 0.000 0.000

***

# 18
Na2PbBr4 (PBE, optimized geometry); spin magnetization = 0.0 μB per formula unit; space-group type = I4/mmm; raw formation energy = -1110 meV/atom; energy above the lowest structure with this stoichiometry = 171 meV/atom
1.0
5.944 0.000 0.000
0.000 5.944 0.000
2.972 2.972 7.796
Br Na Pb
4 2 1
Cartesian
0.000 2.972 0.000
2.972 2.972 4.838
5.944 5.944 2.958
2.972 0.000 0.000
5.944 5.944 5.696
2.972 2.972 2.100
0.000 0.000 0.000

***

# 19
TaRh3F (PBE, optimized geometry); spin magnetization = 1.0 μB per formula unit; space-group type = Pm-3m; raw formation energy = 994 meV/atom; energy above the lowest structure with this stoichiometry = 593 meV/atom
1.0
-3.080 -3.631 -0.376
3.367 -2.637 -2.126
1.409 -1.636 4.260
Rh F Ta
3 1 1
Cartesian
-1.540 -1.815 -0.188
1.684 -1.318 -1.063
0.704 -0.818 2.130
0.848 -3.952 0.879
0.000 0.000 0.000

***

# 20
CeEuGaPd (PBE, optimized geometry); spin magnetization = 7.4 μB per formula unit; space-group type = F-43m; ΔH_f (0 K) = -497.5 meV/atom
1.0
-2.649 -0.047 4.423
0.027 -4.210 2.976
2.505 0.044 4.506
Eu Ga Pd Ce
1 1 1 1
Cartesian
0.000 0.000 0.000
-0.029 -1.053 2.976
-0.087 -3.160 8.929
-0.058 -2.107 5.953